Record 1
Below is Mg2ScN after structural relaxation, with properties calculated at the GGA-PBE level.

Summary:
Electronic total energy: -4.349 eV per atom
Formation energy from raw total energies: 0.112 eV per atom

Cell lengths 6.364, 6.364, 8.738 Å; angles 90.00, 90.00, 90.00 degrees
Space group I-42d (No. 122)
Unique sites:
Mg: 0.061 0.750 0.125 (multiplicity 8)
Sc: 0.000 0.000 0.500 (multiplicity 4)
N: 0.000 0.000 0.000 (multiplicity 4)

Record 2
Below is MgSc3N after structural relaxation, with properties calculated at the GGA-PBE level.

Summary:
Polymorph energy (0 for the lowest one): 39 meV per atom
Electronic total energy: -6.531 eV per atom
Formation energy from raw total energies: -0.748 eV per atom

Cell lengths 5.609, 3.229, 10.776 Å; angles 90.00, 99.70, 90.00 degrees
Space group P2_1/m (No. 11)
Unique sites:
Mg: 0.044 0.250 0.375 (multiplicity 2)
Sc: 0.125 0.750 0.115 (multiplicity 2)
Sc: 0.384 0.750 0.885 (multiplicity 2)
Sc: 0.457 0.250 0.623 (multiplicity 2)
N: 0.245 0.250 0.998 (multiplicity 2)

Record 3
Below is MgScN3 after structural relaxation, with properties calculated at the GGA-PBE level.

Summary:
Electronic total energy: -5.825 eV per atom
Formation energy from raw total energies: 0.755 eV per atom

Cell lengths 3.839, 3.839, 3.839 Å; angles 90.00, 90.00, 90.00 degrees
Space group Pm-3m (No. 221)
Unique sites:
Mg: 0.000 0.000 0.000 (multiplicity 1)
Sc: 0.500 0.500 0.500 (multiplicity 1)
N: 0.000 0.000 0.500 (multiplicity 3)

Record 4
Below is MgSc3N after structural relaxation, with properties calculated at the GGA-PBE level.

Summary:
Polymorph energy (0 for the lowest one): 32 meV per atom
Electronic total energy: -6.538 eV per atom
Formation energy from raw total energies: -0.755 eV per atom

Cell lengths 5.599, 3.227, 10.619 Å; angles 90.00, 90.98, 90.00 degrees
Space group P2/m (No. 10)
Unique sites:
Mg: 0.180 0.000 0.368 (multiplicity 2)
Sc: 0.166 0.000 0.886 (multiplicity 2)
Sc: 0.319 0.500 0.618 (multiplicity 2)
Sc: 0.341 0.500 0.117 (multiplicity 2)
N: 0.000 0.500 0.000 (multiplicity 1)
N: 0.500 0.000 0.000 (multiplicity 1)

Record 5
Below is MgSc3N after structural relaxation, with properties calculated at the GGA-PBE level.

Summary:
Polymorph energy (0 for the lowest one): 161 meV per atom
Electronic total energy: -6.409 eV per atom
Formation energy from raw total energies: -0.626 eV per atom

Cell lengths 8.445, 5.834, 8.413 Å; angles 90.00, 111.98, 90.00 degrees
Space group P2_1/c (No. 14)
Unique sites:
Mg: 0.080 0.190 0.081 (multiplicity 4)
Sc: 0.188 0.625 0.264 (multiplicity 4)
Sc: 0.320 0.081 0.454 (multiplicity 4)
Sc: 0.442 0.569 0.646 (multiplicity 4)
N: 0.432 0.739 0.902 (multiplicity 4)

Record 6
Below is MgSc3N after structural relaxation, with properties calculated at the GGA-PBE level.

Summary:
Polymorph energy (0 for the lowest one): 336 meV per atom
Electronic total energy: -6.234 eV per atom
Formation energy from raw total energies: -0.451 eV per atom

Cell lengths 12.089, 12.089, 12.089 Å; angles 90.00, 90.00, 90.00 degrees
Space group Fd-3m (No. 227, origin choice 2)
Unique sites:
Mg: 0.000 0.000 0.000 (multiplicity 16)
Sc: 0.055 0.375 0.875 (multiplicity 48)
N: 0.000 0.000 0.500 (multiplicity 16)

Record 7
Below is MgSc3N after structural relaxation, with properties calculated at the GGA-PBE level.

Summary:
Polymorph energy (0 for the lowest one): 472 meV per atom
Electronic total energy: -6.098 eV per atom
Formation energy from raw total energies: -0.315 eV per atom

Cell lengths 6.074, 8.457, 8.058 Å; angles 90.00, 90.00, 90.00 degrees
Space group Imma (No. 74)
Unique sites:
Mg: 0.000 0.000 0.000 (multiplicity 4)
Sc: 0.000 0.084 0.358 (multiplicity 8)
Sc: 0.250 0.250 0.750 (multiplicity 4)
N: 0.000 0.250 0.557 (multiplicity 4)

Record 8
Below is MgSc3N after structural relaxation, with properties calculated at the GGA-PBE level.

Summary:
Polymorph energy (0 for the lowest one): 398 meV per atom
Electronic total energy: -6.172 eV per atom
Formation energy from raw total energies: -0.389 eV per atom

Cell lengths 6.194, 6.194, 11.102 Å; angles 90.00, 90.00, 90.00 degrees
Space group I-4m2 (No. 119)
Unique sites:
Mg: 0.000 0.000 0.127 (multiplicity 4)
Sc: 0.000 0.250 0.371 (multiplicity 8)
Sc: 0.000 0.500 0.623 (multiplicity 4)
N: 0.000 0.000 0.500 (multiplicity 2)
N: 0.000 0.500 0.250 (multiplicity 2)

Record 9
Below is MgSc3N after structural relaxation, with properties calculated at the GGA-PBE level.

Summary:
Polymorph energy (0 for the lowest one): 917 meV per atom
Electronic total energy: -5.654 eV per atom
Formation energy from raw total energies: 0.129 eV per atom

Cell lengths 3.818, 3.818, 8.259 Å; angles 90.00, 90.00, 90.00 degrees
Space group P4mm (No. 99)
Unique sites:
Mg: 0.000 0.000 0.000 (multiplicity 1)
Sc: 0.000 0.000 0.620 (multiplicity 1)
Sc: 0.000 0.500 0.327 (multiplicity 2)
N: 0.500 0.500 0.456 (multiplicity 1)

Record 10
Below is MgSc3N after structural relaxation, with properties calculated at the GGA-PBE level.

Summary:
Polymorph energy (0 for the lowest one): 0 meV per atom
Electronic total energy: -6.570 eV per atom
Formation energy from raw total energies: -0.788 eV per atom

Cell lengths 4.525, 4.525, 4.525 Å; angles 90.00, 90.00, 90.00 degrees
Space group Pm-3m (No. 221)
Unique sites:
Mg: 0.000 0.000 0.000 (multiplicity 1)
Sc: 0.000 0.500 0.500 (multiplicity 3)
N: 0.500 0.500 0.500 (multiplicity 1)

Record 11
Below is MgScN2 after structural relaxation, with properties calculated at the GGA-PBE level.

Summary:
Electronic total energy: -5.930 eV per atom
Formation energy from raw total energies: 0.214 eV per atom

Cell lengths 3.4625, 3.4625, 17.5161 Å; angles 90.00, 90.00, 120.00 degrees
Space group R-3m (No. 166, hexagonal axes)
Unique sites:
Mg: 0.0000 0.0000 0.0000 (multiplicity 3)
Sc: 0.0000 0.0000 0.5000 (multiplicity 3)
N: 0.0000 0.0000 0.3908 (multiplicity 6)

Record 12
Below is MgSc3N after structural relaxation, with properties calculated at the GGA-PBE level.

Summary:
Polymorph energy (0 for the lowest one): 110 meV per atom
Electronic total energy: -6.461 eV per atom
Formation energy from raw total energies: -0.678 eV per atom

Cell lengths 12.703, 3.252, 9.926 Å; angles 90.00, 108.06, 90.00 degrees
Space group C2/m (No. 12)
Unique sites:
Mg: 0.154 0.000 0.388 (multiplicity 4)
Sc: 0.041 0.000 0.873 (multiplicity 4)
Sc: 0.104 0.500 0.647 (multiplicity 4)
Sc: 0.216 0.500 0.116 (multiplicity 4)
N: 0.160 0.500 0.876 (multiplicity 4)

Record 13
Below is MgSc3N after structural relaxation, with properties calculated at the GGA-PBE level.

Summary:
Polymorph energy (0 for the lowest one): 398 meV per atom
Electronic total energy: -6.172 eV per atom
Formation energy from raw total energies: -0.389 eV per atom

Cell lengths 8.7086, 8.7086, 9.4621 Å; angles 90.00, 90.00, 120.00 degrees
Space group R-3c (No. 167, hexagonal axes)
Unique sites:
Mg: 0.0000 0.0000 0.0000 (multiplicity 6)
Sc: 0.0000 0.2329 0.2500 (multiplicity 18)
N: 0.0000 0.0000 0.2500 (multiplicity 6)

Record 14
Below is MgScN2 after structural relaxation, with properties calculated at the GGA-PBE level.

Summary:
Electronic total energy: -6.869 eV per atom
Formation energy from raw total energies: -0.725 eV per atom

Cell lengths 5.464, 5.464, 6.887 Å; angles 90.00, 90.00, 90.00 degrees
Space group I-42d (No. 122)
Unique sites:
Mg: 0.000 0.000 0.000 (multiplicity 4)
Sc: 0.000 0.000 0.500 (multiplicity 4)
N: 0.250 0.250 0.125 (multiplicity 8)

Record 15
Below is MgSc3N after structural relaxation, with properties calculated at the GGA-PBE level.

Summary:
Polymorph energy (0 for the lowest one): 73 meV per atom
Electronic total energy: -6.497 eV per atom
Formation energy from raw total energies: -0.714 eV per atom

Cell lengths 10.601, 12.961, 5.644 Å; angles 90.00, 90.69, 90.00 degrees
Space group C2/c (No. 15)
Unique sites:
Mg: 0.129 0.064 0.411 (multiplicity 8)
Sc: 0.113 0.435 0.922 (multiplicity 8)
Sc: 0.118 0.316 0.420 (multiplicity 8)
Sc: 0.119 0.191 0.916 (multiplicity 8)
N: 0.000 0.311 0.750 (multiplicity 4)
N: 0.000 0.440 0.250 (multiplicity 4)

Record 16
Below is MgSc3N after structural relaxation, with properties calculated at the GGA-PBE level.

Summary:
Polymorph energy (0 for the lowest one): 28 meV per atom
Electronic total energy: -6.543 eV per atom
Formation energy from raw total energies: -0.760 eV per atom

Cell lengths 3.227, 5.598, 10.753 Å; angles 94.39, 98.62, 90.00 degrees
Space group P1 (No. 1)
Unique sites:
Mg: 0.000 0.000 0.000 (multiplicity 1)
Mg: 0.131 0.696 0.258 (multiplicity 1)
Sc: 0.259 0.092 0.515 (multiplicity 1)
Sc: 0.373 0.787 0.744 (multiplicity 1)
Sc: 0.506 0.494 0.011 (multiplicity 1)
Sc: 0.628 0.193 0.252 (multiplicity 1)
Sc: 0.757 0.584 0.511 (multiplicity 1)
Sc: 0.873 0.291 0.744 (multiplicity 1)
N: 0.317 0.442 0.630 (multiplicity 1)
N: 0.818 0.936 0.632 (multiplicity 1)

Record 17
Below is MgSc3N after structural relaxation, with properties calculated at the GGA-PBE level.

Summary:
Polymorph energy (0 for the lowest one): 217 meV per atom
Electronic total energy: -6.353 eV per atom
Formation energy from raw total energies: -0.570 eV per atom

Cell lengths 5.6363, 5.6363, 23.1131 Å; angles 90.00, 90.00, 120.00 degrees
Space group R-3 (No. 148, hexagonal axes)
Unique sites:
Mg: 0.0000 0.0000 0.1641 (multiplicity 6)
Sc: 0.0061 0.6569 0.9464 (multiplicity 18)
N: 0.0000 0.0000 0.3353 (multiplicity 6)

Record 18
Below is Mg2Sc6N after structural relaxation, with properties calculated at the GGA-PBE level.

Summary:
Electronic total energy: -5.934 eV per atom
Formation energy from raw total energies: -0.434 eV per atom

Cell lengths 9.148, 9.148, 9.148 Å; angles 90.00, 90.00, 90.00 degrees
Space group Fm-3m (No. 225)
Unique sites:
Mg: 0.250 0.250 0.250 (multiplicity 8)
Sc: 0.000 0.000 0.243 (multiplicity 24)
N: 0.000 0.000 0.000 (multiplicity 4)

Record 19
Below is MgSc3N after structural relaxation, with properties calculated at the GGA-PBE level.

Summary:
Polymorph energy (0 for the lowest one): 386 meV per atom
Electronic total energy: -6.184 eV per atom
Formation energy from raw total energies: -0.401 eV per atom

Cell lengths 6.421, 11.109, 6.339 Å; angles 90.00, 90.00, 90.00 degrees
Space group Cmcm (No. 63)
Unique sites:
Mg: 0.000 0.033 0.250 (multiplicity 4)
Sc: 0.000 0.500 0.000 (multiplicity 4)
Sc: 0.247 0.225 0.750 (multiplicity 8)
N: 0.000 0.377 0.250 (multiplicity 4)

Record 20
Below is MgSc3N after structural relaxation, with properties calculated at the GGA-PBE level.

Summary:
Polymorph energy (0 for the lowest one): 2439 meV per atom
Electronic total energy: -4.132 eV per atom
Formation energy from raw total energies: 1.651 eV per atom

Cell lengths 5.084, 5.084, 5.084 Å; angles 90.00, 90.00, 90.00 degrees
Space group Pm-3m (No. 221)
Unique sites:
Mg: 0.000 0.000 0.000 (multiplicity 1)
Sc: 0.000 0.000 0.500 (multiplicity 3)
N: 0.500 0.500 0.500 (multiplicity 1)

Record 21
Below is MgScN2 after structural relaxation, with properties calculated at the GGA-PBE level.

Summary:
Electronic total energy: -6.569 eV per atom
Formation energy from raw total energies: -0.425 eV per atom

Cell lengths 3.3637, 3.3637, 18.0735 Å; angles 90.00, 90.00, 120.00 degrees
Space group R-3m (No. 166, hexagonal axes)
Unique sites:
Mg: 0.0000 0.0000 0.0000 (multiplicity 3)
Sc: 0.0000 0.0000 0.5000 (multiplicity 3)
N: 0.0000 0.0000 0.1070 (multiplicity 6)

Record 22
Below is MgSc3N after structural relaxation, with properties calculated at the GGA-PBE level.

Summary:
Polymorph energy (0 for the lowest one): 317 meV per atom
Electronic total energy: -6.254 eV per atom
Formation energy from raw total energies: -0.471 eV per atom

Cell lengths 10.386, 6.314, 6.130 Å; angles 90.00, 90.00, 90.00 degrees
Space group Cmcm (No. 63)
Unique sites:
Mg: 0.000 0.096 0.250 (multiplicity 4)
Sc: 0.000 0.500 0.000 (multiplicity 4)
Sc: 0.204 0.209 0.750 (multiplicity 8)
N: 0.000 0.252 0.750 (multiplicity 4)